1.
This record from Alexandria describes crystalline Tb2Pm6Y at its relaxed geometry. The functional is GGA-PBE.

Mass density in g/cm3: 6.93

a b c (Å): 6.304 10.906 10.906
angles (deg): 85.97 65.08 65.08
Atoms (fractional coordinates):
Tb (0.201, 0.630, 0.768)
Tb (0.299, 0.232, 0.370)
Tb (0.799, 0.370, 0.232)
Tb (0.701, 0.768, 0.630)
Pm (0.401, 0.676, 0.438)
Pm (0.099, 0.562, 0.324)
Pm (0.599, 0.324, 0.562)
Pm (0.901, 0.438, 0.676)
Pm (0.819, 0.987, 0.423)
Pm (0.681, 0.577, 0.013)
Pm (0.181, 0.013, 0.577)
Pm (0.319, 0.423, 0.987)
Pm (0.268, 0.849, 0.938)
Pm (0.232, 0.062, 0.151)
Pm (0.732, 0.151, 0.062)
Pm (0.768, 0.938, 0.849)
Y (0.250, 0.180, 0.820)
Y (0.750, 0.820, 0.180)


2.
This record from Alexandria describes crystalline Tb2Pm6Y at its relaxed geometry. The functional is GGA-PBE.

Mass density in g/cm3: 6.94

a b c (Å): 3.661 10.036 10.036
angles (deg): 55.93 90.00 90.00
Atoms (fractional coordinates):
Tb (0.500, 0.179, 0.179)
Tb (0.500, 0.821, 0.821)
Pm (0.000, 0.512, 0.159)
Pm (0.000, 0.841, 0.488)
Pm (0.000, 0.488, 0.841)
Pm (0.500, 0.683, 0.317)
Pm (0.000, 0.159, 0.512)
Pm (0.500, 0.317, 0.683)
Y (0.000, 0.000, 0.000)


Relative energies, unit kJ/mol of atoms: 1 7.5; 2 0.0


1.
This record from Alexandria describes crystalline Tb3Pm2Y4 at its relaxed geometry. The functional is GGA-PBE.

Mass density in g/cm3: 6.26

a b c (Å): 3.538 9.684 11.590
angles (deg): 49.93 98.78 90.00
Atoms (fractional coordinates):
Tb (0.830, 0.440, 0.660)
Tb (0.170, 0.560, 0.340)
Tb (0.000, 0.000, 0.000)
Pm (0.340, 0.109, 0.681)
Pm (0.660, 0.891, 0.319)
Y (0.487, 0.346, 0.975)
Y (0.846, 0.780, 0.692)
Y (0.513, 0.654, 0.025)
Y (0.154, 0.220, 0.308)


2.
This record from Alexandria describes crystalline Tb3Pm2Y4 at its relaxed geometry. The functional is GGA-PBE.

Mass density in g/cm3: 6.36

a b c (Å): 6.159 11.344 11.344
angles (deg): 61.79 62.19 62.19
Atoms (fractional coordinates):
Tb (0.761, 0.067, 0.264)
Tb (0.739, 0.736, 0.933)
Tb (0.239, 0.933, 0.736)
Tb (0.261, 0.264, 0.067)
Tb (0.250, 0.595, 0.405)
Tb (0.750, 0.405, 0.595)
Pm (0.420, 0.234, 0.522)
Pm (0.080, 0.478, 0.766)
Pm (0.580, 0.766, 0.478)
Pm (0.920, 0.522, 0.234)
Y (0.422, 0.906, 0.188)
Y (0.078, 0.812, 0.094)
Y (0.578, 0.094, 0.812)
Y (0.922, 0.188, 0.906)
Y (0.079, 0.149, 0.422)
Y (0.421, 0.578, 0.851)
Y (0.921, 0.851, 0.578)
Y (0.579, 0.422, 0.149)


Relative energies, unit kJ/mol of atoms: 1 0.0; 2 1.1


1.
This record from Alexandria describes crystalline TbPm8Y2 at its relaxed geometry. The functional is GGA-PBE.

Mass density in g/cm3: 6.59

a b c (Å): 5.993 9.163 9.490
angles (deg): 61.13 74.20 55.68
Atoms (fractional coordinates):
Tb (0.500, 0.000, 0.000)
Pm (0.816, 0.099, 0.237)
Pm (0.816, 0.336, 0.763)
Pm (0.295, 0.425, 0.000)
Pm (0.500, 0.795, 0.409)
Pm (0.500, 0.205, 0.591)
Pm (0.705, 0.575, 0.000)
Pm (0.184, 0.664, 0.237)
Pm (0.184, 0.901, 0.763)
Y (0.000, 0.310, 0.380)
Y (0.000, 0.690, 0.620)


2.
This record from Alexandria describes crystalline TbPm8Y2 at its relaxed geometry. The functional is GGA-PBE.

Mass density in g/cm3: 6.69

a b c (Å): 5.134 8.114 9.596
angles (deg): 104.68 105.52 90.00
Atoms (fractional coordinates):
Tb (0.500, 0.000, 0.000)
Pm (0.591, 0.453, 0.182)
Pm (0.318, 0.090, 0.637)
Pm (0.137, 0.182, 0.273)
Pm (0.046, 0.728, 0.091)
Pm (0.863, 0.818, 0.727)
Pm (0.682, 0.910, 0.363)
Pm (0.409, 0.547, 0.818)
Pm (0.954, 0.272, 0.909)
Y (0.227, 0.635, 0.454)
Y (0.773, 0.365, 0.546)


Relative energies, unit kJ/mol of atoms: 1 12.0; 2 0.0


1.
This record from Alexandria describes crystalline Tb6Pm12Y at its relaxed geometry. The functional is GGA-PBE.

Mass density in g/cm3: 6.95

a b c (Å): 9.254 9.254 9.254
angles (deg): 106.75 106.75 106.75
Atoms (fractional coordinates):
Tb (0.079, 0.191, 0.452)
Tb (0.809, 0.548, 0.921)
Tb (0.548, 0.921, 0.809)
Tb (0.921, 0.809, 0.548)
Tb (0.191, 0.452, 0.079)
Tb (0.452, 0.079, 0.191)
Pm (0.485, 0.192, 0.582)
Pm (0.192, 0.582, 0.485)
Pm (0.582, 0.485, 0.192)
Pm (0.515, 0.808, 0.418)
Pm (0.808, 0.418, 0.515)
Pm (0.418, 0.515, 0.808)
Pm (0.281, 0.131, 0.825)
Pm (0.175, 0.719, 0.869)
Pm (0.869, 0.175, 0.719)
Pm (0.719, 0.869, 0.175)
Pm (0.825, 0.281, 0.131)
Pm (0.131, 0.825, 0.281)
Y (0.000, 0.000, 0.000)


2.
This record from Alexandria describes crystalline Tb6Pm12Y at its relaxed geometry. The functional is GGA-PBE.

Mass density in g/cm3: 7.10

a b c (Å): 8.668 8.668 8.668
angles (deg): 88.97 88.97 88.97
Atoms (fractional coordinates):
Tb (0.740, 0.903, 0.301)
Tb (0.699, 0.260, 0.097)
Tb (0.097, 0.699, 0.260)
Tb (0.260, 0.097, 0.699)
Tb (0.301, 0.740, 0.903)
Tb (0.903, 0.301, 0.740)
Pm (0.779, 0.537, 0.433)
Pm (0.433, 0.779, 0.537)
Pm (0.537, 0.433, 0.779)
Pm (0.221, 0.463, 0.567)
Pm (0.567, 0.221, 0.463)
Pm (0.463, 0.567, 0.221)
Pm (0.017, 0.196, 0.361)
Pm (0.804, 0.639, 0.983)
Pm (0.639, 0.983, 0.804)
Pm (0.983, 0.804, 0.639)
Pm (0.196, 0.361, 0.017)
Pm (0.361, 0.017, 0.196)
Y (0.000, 0.000, 0.000)


Relative energies, unit kJ/mol of atoms: 1 9.3; 2 0.0


1.
This record from Alexandria describes crystalline Tb3PmY3 at its relaxed geometry. The functional is GGA-PBE.

Mass density in g/cm3: 6.18

a b c (Å): 6.211 6.211 14.743
angles (deg): 77.84 77.84 60.00
Atoms (fractional coordinates):
Tb (0.199, 0.867, 0.399)
Tb (0.535, 0.199, 0.399)
Tb (0.867, 0.535, 0.399)
Tb (0.133, 0.465, 0.601)
Tb (0.465, 0.801, 0.601)
Tb (0.801, 0.133, 0.601)
Pm (0.667, 0.667, 0.000)
Pm (0.333, 0.333, 0.000)
Y (0.933, 0.266, 0.201)
Y (0.599, 0.933, 0.201)
Y (0.266, 0.599, 0.201)
Y (0.734, 0.401, 0.799)
Y (0.401, 0.067, 0.799)
Y (0.067, 0.734, 0.799)


2.
This record from Alexandria describes crystalline Tb3PmY3 at its relaxed geometry. The functional is GGA-PBE.

Mass density in g/cm3: 6.32

a b c (Å): 8.239 6.346 6.346
angles (deg): 102.66 115.64 115.64
Atoms (fractional coordinates):
Tb (0.620, 0.647, 0.647)
Tb (0.973, 0.000, 0.353)
Tb (0.973, 0.353, 0.000)
Pm (0.563, 0.000, 0.000)
Y (0.015, 0.600, 0.600)
Y (0.415, 0.000, 0.400)
Y (0.415, 0.400, 0.000)


Relative energies, unit kJ/mol of atoms: 1 0.0; 2 9.0


1.
This record from Alexandria describes crystalline Tb12Pm6Y at its relaxed geometry. The functional is GGA-PBE.

Mass density in g/cm3: 7.46

a b c (Å): 8.612 8.612 8.612
angles (deg): 91.57 91.57 91.57
Atoms (fractional coordinates):
Tb (0.791, 0.528, 0.467)
Tb (0.467, 0.791, 0.528)
Tb (0.528, 0.467, 0.791)
Tb (0.209, 0.472, 0.533)
Tb (0.533, 0.209, 0.472)
Tb (0.472, 0.533, 0.209)
Tb (0.066, 0.141, 0.379)
Tb (0.859, 0.621, 0.934)
Tb (0.621, 0.934, 0.859)
Tb (0.934, 0.859, 0.621)
Tb (0.141, 0.379, 0.066)
Tb (0.379, 0.066, 0.141)
Pm (0.725, 0.866, 0.256)
Pm (0.744, 0.275, 0.134)
Pm (0.134, 0.744, 0.275)
Pm (0.275, 0.134, 0.744)
Pm (0.256, 0.725, 0.866)
Pm (0.866, 0.256, 0.725)
Y (0.000, 0.000, 0.000)


2.
This record from Alexandria describes crystalline Tb12Pm6Y at its relaxed geometry. The functional is GGA-PBE.

Mass density in g/cm3: 7.35

a b c (Å): 8.768 8.768 8.768
angles (deg): 98.73 98.73 98.73
Atoms (fractional coordinates):
Tb (0.758, 0.242, 0.500)
Tb (0.356, 0.083, 0.356)
Tb (0.356, 0.356, 0.083)
Tb (0.917, 0.644, 0.644)
Tb (0.644, 0.644, 0.917)
Tb (0.644, 0.917, 0.644)
Tb (0.500, 0.758, 0.242)
Tb (0.242, 0.500, 0.758)
Tb (0.242, 0.758, 0.500)
Tb (0.500, 0.242, 0.758)
Tb (0.758, 0.500, 0.242)
Tb (0.083, 0.356, 0.356)
Pm (0.904, 0.343, 0.904)
Pm (0.904, 0.904, 0.343)
Pm (0.343, 0.904, 0.904)
Pm (0.096, 0.096, 0.657)
Pm (0.096, 0.657, 0.096)
Pm (0.657, 0.096, 0.096)
Y (0.000, 0.000, 0.000)


Relative energies, unit kJ/mol of atoms: 1 0.0; 2 3.5


1.
This record from Alexandria describes crystalline Tb2Pm3Y5 at its relaxed geometry. The functional is GGA-PBE.

Mass density in g/cm3: 5.94

a b c (Å): 9.381 9.377 11.143
angles (deg): 124.22 124.23 70.34
Atoms (fractional coordinates):
Tb (0.772, 0.019, 0.745)
Tb (0.228, 0.981, 0.255)
Tb (0.474, 0.727, 0.745)
Tb (0.526, 0.273, 0.255)
Pm (0.229, 0.979, 0.957)
Pm (0.771, 0.021, 0.043)
Pm (0.727, 0.474, 0.250)
Pm (0.273, 0.526, 0.750)
Pm (0.022, 0.776, 0.250)
Pm (0.978, 0.224, 0.750)
Y (0.274, 0.524, 0.047)
Y (0.726, 0.476, 0.953)
Y (0.024, 0.774, 0.549)
Y (0.526, 0.276, 0.553)
Y (0.976, 0.226, 0.451)
Y (0.474, 0.724, 0.447)
Y (0.866, 0.616, 0.741)
Y (0.134, 0.384, 0.259)
Y (0.375, 0.125, 0.741)
Y (0.625, 0.875, 0.259)


2.
This record from Alexandria describes crystalline Tb2Pm3Y5 at its relaxed geometry. The functional is GGA-PBE.

Mass density in g/cm3: 5.58

a b c (Å): 6.857 12.506 12.506
angles (deg): 44.10 74.09 74.09
Atoms (fractional coordinates):
Tb (0.123, 0.786, 0.968)
Tb (0.877, 0.214, 0.032)
Tb (0.623, 0.968, 0.786)
Tb (0.377, 0.032, 0.214)
Pm (0.250, 0.000, 0.000)
Pm (0.750, 0.000, 0.000)
Pm (0.370, 0.381, 0.878)
Pm (0.630, 0.619, 0.122)
Pm (0.870, 0.878, 0.381)
Pm (0.130, 0.122, 0.619)
Y (0.250, 0.500, 0.500)
Y (0.750, 0.500, 0.500)
Y (0.498, 0.752, 0.752)
Y (0.002, 0.248, 0.248)
Y (0.502, 0.248, 0.248)
Y (0.998, 0.752, 0.752)
Y (0.127, 0.466, 0.280)
Y (0.873, 0.534, 0.720)
Y (0.627, 0.280, 0.466)
Y (0.373, 0.720, 0.534)


Relative energies, unit kJ/mol of atoms: 1 0.0; 2 20.6


1.
This record from Alexandria describes crystalline Tb2Pm5Y12 at its relaxed geometry. The functional is GGA-PBE.

Mass density in g/cm3: 5.49

a b c (Å): 9.387 9.120 8.699
angles (deg): 91.79 90.00 120.97
Atoms (fractional coordinates):
Tb (0.673, 0.000, 0.000)
Tb (0.327, 0.000, 0.000)
Pm (0.230, 0.460, 0.572)
Pm (0.295, 0.589, 0.980)
Pm (0.000, 0.000, 0.500)
Pm (0.705, 0.411, 0.020)
Pm (0.770, 0.540, 0.428)
Y (0.925, 0.851, 0.126)
Y (0.030, 0.703, 0.762)
Y (0.673, 0.703, 0.762)
Y (0.181, 0.742, 0.334)
Y (0.561, 0.742, 0.334)
Y (0.443, 0.886, 0.667)
Y (0.557, 0.114, 0.333)
Y (0.819, 0.258, 0.666)
Y (0.439, 0.258, 0.666)
Y (0.970, 0.297, 0.238)
Y (0.327, 0.297, 0.238)
Y (0.075, 0.149, 0.874)


2.
This record from Alexandria describes crystalline Tb2Pm5Y12 at its relaxed geometry. The functional is GGA-PBE.

Mass density in g/cm3: 5.56

a b c (Å): 6.082 11.369 12.193
angles (deg): 131.05 84.41 97.26
Atoms (fractional coordinates):
Tb (0.716, 0.988, 0.069)
Tb (0.284, 0.012, 0.931)
Pm (0.572, 0.667, 0.683)
Pm (0.082, 0.645, 0.188)
Pm (0.000, 0.000, 0.500)
Pm (0.918, 0.355, 0.812)
Pm (0.428, 0.333, 0.317)
Y (0.165, 0.960, 0.184)
Y (0.041, 0.659, 0.816)
Y (0.505, 0.624, 0.957)
Y (0.103, 0.692, 0.538)
Y (0.614, 0.691, 0.403)
Y (0.424, 0.073, 0.679)
Y (0.576, 0.927, 0.321)
Y (0.897, 0.308, 0.462)
Y (0.386, 0.309, 0.597)
Y (0.959, 0.341, 0.184)
Y (0.495, 0.376, 0.043)
Y (0.835, 0.040, 0.816)


Relative energies, unit kJ/mol of atoms: 1 0.6; 2 0.0


1.
This record from Alexandria describes crystalline Tb3Pm3Y5 at its relaxed geometry. The functional is GGA-PBE.

Mass density in g/cm3: 5.06

a b c (Å): 5.472 9.693 9.693
angles (deg): 120.00 90.00 90.00
Atoms (fractional coordinates):
Tb (0.000, 0.456, 0.456)
Tb (0.000, 0.544, 0.000)
Tb (0.000, 0.000, 0.544)
Pm (0.500, 0.630, 0.630)
Pm (0.500, 0.000, 0.370)
Pm (0.500, 0.370, 0.000)
Y (0.500, 0.333, 0.667)
Y (0.500, 0.667, 0.333)
Y (0.500, 0.260, 0.260)
Y (0.500, 0.000, 0.740)
Y (0.500, 0.740, 0.000)


2.
This record from Alexandria describes crystalline Tb3Pm3Y5 at its relaxed geometry. The functional is GGA-PBE.

Mass density in g/cm3: 5.97

a b c (Å): 3.468 11.206 11.206
angles (deg): 120.00 90.00 90.00
Atoms (fractional coordinates):
Tb (0.500, 0.841, 0.000)
Tb (0.500, 0.159, 0.159)
Tb (0.500, 0.000, 0.841)
Pm (0.000, 0.599, 0.000)
Pm (0.000, 0.000, 0.599)
Pm (0.000, 0.401, 0.401)
Y (0.500, 0.667, 0.333)
Y (0.500, 0.333, 0.667)
Y (0.500, 0.340, 0.000)
Y (0.500, 0.660, 0.660)
Y (0.500, 0.000, 0.340)


Relative energies, unit kJ/mol of atoms: 1 44.1; 2 0.0